FeCoMoPt after structural relaxation. Source: Alexandria, functional PBE.

Unit cell a=5.9794 b=5.9794 c=5.9794 alpha=90.00 beta=90.00 gamma=90.00
Space group F-43m (No. 216)
Symmetry-distinct sites (fractional):
Fe 0.0000 0.0000 0.0000 (multiplicity 4)
Co 0.0000 0.0000 0.5000 (multiplicity 4)
Mo 0.2500 0.2500 0.7500 (multiplicity 4)
Pt 0.2500 0.2500 0.2500 (multiplicity 4)

Values from the calculation:
The formation energy is 1.1 kJ/mol of atoms. Its volume is 213.8 Å³/cell.


FeCo2MoRh after structural relaxation. Source: Alexandria, functional PBE.

Unit cell a=4.4856 b=4.4856 c=4.6223 alpha=90.00 beta=90.00 gamma=90.00
Space group P4/mmm (No. 123)
Symmetry-distinct sites (fractional):
Fe 0.0000 0.0000 0.0000 (multiplicity 1)
Co 0.0000 0.5000 0.5000 (multiplicity 2)
Mo 0.5000 0.5000 0.0000 (multiplicity 1)
Rh 0.5000 0.5000 0.5000 (multiplicity 1)

Values from the calculation:
The formation energy is 157.7 kJ/mol of atoms. Its volume is 93.0 Å³/cell.


ScFeCoMo after structural relaxation. Source: Alexandria, functional PBE.

Unit cell a=6.0954 b=6.0954 c=6.0954 alpha=90.00 beta=90.00 gamma=90.00
Space group F-43m (No. 216)
Symmetry-distinct sites (fractional):
Sc 0.0000 0.0000 0.0000 (multiplicity 4)
Fe 0.2500 0.2500 0.7500 (multiplicity 4)
Co 0.2500 0.2500 0.2500 (multiplicity 4)
Mo 0.0000 0.0000 0.5000 (multiplicity 4)

Values from the calculation:
The formation energy is -0.9 kJ/mol of atoms. Its volume is 226.5 Å³/cell.


Fe2Co5SiMo2 after structural relaxation. Source: Alexandria, functional PBE.

Unit cell a=8.0920 b=8.0920 c=3.6579 alpha=90.00 beta=90.00 gamma=90.00
Space group P4/mbm (No. 127)
Symmetry-distinct sites (fractional):
Fe 0.1284 0.3716 0.0000 (multiplicity 4)
Co 0.0000 0.5000 0.5000 (multiplicity 2)
Co 0.0689 0.2009 0.5000 (multiplicity 8)
Si 0.0000 0.0000 0.0000 (multiplicity 2)
Mo 0.1671 0.6671 0.0000 (multiplicity 4)

Values from the calculation:
For the uncorrected formation energy, the calculation gives 0.07 eV per atom. Its volume is 239.5 Å³/cell.


FeCoSnMo after structural relaxation. Source: Alexandria, functional PBE.

Unit cell a=6.1132 b=6.1132 c=6.1132 alpha=90.00 beta=90.00 gamma=90.00
Space group F-43m (No. 216)
Symmetry-distinct sites (fractional):
Fe 0.0000 0.0000 0.0000 (multiplicity 4)
Co 0.0000 0.0000 0.5000 (multiplicity 4)
Sn 0.2500 0.2500 0.2500 (multiplicity 4)
Mo 0.2500 0.2500 0.7500 (multiplicity 4)

Values from the calculation:
The formation energy is 14.3 kJ/mol of atoms. Its volume is 228.5 Å³/cell.


FeCo2SnMo after structural relaxation. Source: Alexandria, functional PBE.

Unit cell a=4.4504 b=4.4504 c=4.5144 alpha=90.00 beta=90.00 gamma=90.00
Space group P4/mmm (No. 123)
Symmetry-distinct sites (fractional):
Fe 0.0000 0.0000 0.0000 (multiplicity 1)
Co 0.0000 0.5000 0.5000 (multiplicity 2)
Sn 0.0000 0.0000 0.5000 (multiplicity 1)
Mo 0.5000 0.5000 0.0000 (multiplicity 1)

Values from the calculation:
The formation energy is 176.0 kJ/mol of atoms. Its volume is 89.4 Å³/cell.


SrFeCo2Mo after structural relaxation. Source: Alexandria, functional PBE.

Unit cell a=4.4717 b=4.4717 c=5.3653 alpha=90.00 beta=90.00 gamma=90.00
Space group P4/mmm (No. 123)
Symmetry-distinct sites (fractional):
Sr 0.0000 0.0000 0.0000 (multiplicity 1)
Fe 0.5000 0.5000 0.0000 (multiplicity 1)
Co 0.0000 0.5000 0.5000 (multiplicity 2)
Mo 0.0000 0.0000 0.5000 (multiplicity 1)

Values from the calculation:
The formation energy is 160.5 kJ/mol of atoms. Its volume is 107.3 Å³/cell.


FeCoTcMo after structural relaxation. Source: Alexandria, functional PBE.

Unit cell a=6.0070 b=6.0070 c=6.0070 alpha=90.00 beta=90.00 gamma=90.00
Space group F-43m (No. 216)
Symmetry-distinct sites (fractional):
Fe 0.0000 0.0000 0.0000 (multiplicity 4)
Co 0.2500 0.2500 0.7500 (multiplicity 4)
Tc 0.2500 0.2500 0.2500 (multiplicity 4)
Mo 0.0000 0.0000 0.5000 (multiplicity 4)

Values from the calculation:
The formation energy is 15.9 kJ/mol of atoms. Its volume is 216.8 Å³/cell.


VFeCoMo after structural relaxation. Source: Alexandria, functional PBE.

Unit cell a=5.8993 b=5.8993 c=5.8993 alpha=90.00 beta=90.00 gamma=90.00
Space group F-43m (No. 216)
Symmetry-distinct sites (fractional):
V 0.0000 0.0000 0.0000 (multiplicity 4)
Fe 0.0000 0.0000 0.5000 (multiplicity 4)
Co 0.2500 0.2500 0.2500 (multiplicity 4)
Mo 0.2500 0.2500 0.7500 (multiplicity 4)

Values from the calculation:
The formation energy is 5.5 kJ/mol of atoms. Its volume is 205.3 Å³/cell.


ZnFeCoMo after structural relaxation. Source: Alexandria, functional PBE.

Unit cell a=5.8483 b=5.8483 c=5.8483 alpha=90.00 beta=90.00 gamma=90.00
Space group F-43m (No. 216)
Symmetry-distinct sites (fractional):
Zn 0.0000 0.0000 0.0000 (multiplicity 4)
Fe 0.2500 0.2500 0.2500 (multiplicity 4)
Co 0.2500 0.2500 0.7500 (multiplicity 4)
Mo 0.0000 0.0000 0.5000 (multiplicity 4)

Values from the calculation:
The formation energy is 7.1 kJ/mol of atoms. Its volume is 200.0 Å³/cell.


ZrFeCo2Mo after structural relaxation. Source: Alexandria, functional PBE.

Unit cell a=4.4236 b=4.4236 c=4.4923 alpha=90.00 beta=90.00 gamma=90.00
Space group P4/mmm (No. 123)
Symmetry-distinct sites (fractional):
Zr 0.0000 0.0000 0.0000 (multiplicity 1)
Fe 0.0000 0.0000 0.5000 (multiplicity 1)
Co 0.0000 0.5000 0.0000 (multiplicity 2)
Mo 0.5000 0.5000 0.5000 (multiplicity 1)

Values from the calculation:
The formation energy is 161.3 kJ/mol of atoms. Its volume is 87.9 Å³/cell.


Fe2Co3N4 after structural relaxation. Source: Alexandria, functional PBE.

Unit cell a=8.6984 b=6.7755 c=5.5073 alpha=90.00 beta=94.48 gamma=90.00
Space group C2/c (No. 15)
Symmetry-distinct sites (fractional):
Fe 0.1935 0.1410 0.3379 (multiplicity 8)
Co 0.0000 0.1468 0.7500 (multiplicity 4)
Co 0.1207 0.3983 0.0030 (multiplicity 8)
N 0.0973 0.3193 0.5347 (multiplicity 8)
N 0.1601 0.0953 0.0102 (multiplicity 8)

Values from the calculation:
For the uncorrected formation energy, the calculation gives 0.20 eV per atom. Its volume is 323.6 Å³/cell.